Record 1
DFT (PBE-GGA) results for Hf6Fe2Pt after structural relaxation.

Values from the calculation:
DFT formation energy   -0.387 eV per atom
Total DFT energy (no corrections)   -9.575 eV per atom
D(E_F)   14.23 states/eV per cell
Crystal system   orthorhombic
Density   13.52 g/cm3

Lattice parameters (Å, degrees): 7.612 7.612 7.612 111.36 111.27 105.84
Fractional coordinates of all 18 atoms:
Hf1 0.016 0.826 0.190
Hf2 0.245 0.549 0.304
Hf3 0.245 0.941 0.696
Hf4 0.278 0.310 0.588
Hf5 0.278 0.690 0.968
Hf6 0.364 0.174 0.190
Hf7 0.636 0.826 0.810
Hf8 0.722 0.310 0.032
Hf9 0.722 0.690 0.412
Hf10 0.755 0.059 0.304
Hf11 0.755 0.451 0.696
Hf12 0.984 0.174 0.810
Fe1 0.000 0.163 0.163
Fe2 0.000 0.837 0.837
Fe3 0.384 0.384 0.000
Fe4 0.616 0.616 0.000
Pt1 0.000 0.500 0.500
Pt2 0.500 0.000 0.500

Record 2
DFT (PBE-GGA) results for Ba2ScRh after structural relaxation.

Values from the calculation:
DFT formation energy   0.247 eV per atom
Total DFT energy (no corrections)   -4.135 eV per atom
D(E_F)   5.18 states/eV per cell
Crystal system   tetragonal
Density   5.17 g/cm3
Relative energy among the computed polymorphs   450 meV per atom

Lattice parameters (Å, degrees): 3.768 3.768 9.555 90.00 90.00 90.00
Fractional coordinates of all 4 atoms:
Ba1 0.000 0.000 0.194
Ba2 0.000 0.000 0.806
Sc1 0.500 0.500 0.500
Rh1 0.500 0.500 0.000

Record 3
DFT (PBE-GGA) results for Th6Pb2C after structural relaxation.

Values from the calculation:
DFT formation energy   -0.155 eV per atom
Total DFT energy (no corrections)   -6.950 eV per atom
D(E_F)   21.19 states/eV per cell
Crystal system   monoclinic
Density   11.14 g/cm3
Relative energy among the computed polymorphs   12 meV per atom

Lattice parameters (Å, degrees): 6.534 8.093 11.930 90.00 120.72 90.00
Fractional coordinates of all 18 atoms:
Th1 0.125 0.168 0.469
Th2 0.125 0.332 0.969
Th3 0.324 0.713 0.459
Th4 0.324 0.787 0.959
Th5 0.366 0.020 0.251
Th6 0.366 0.480 0.751
Th7 0.634 0.520 0.249
Th8 0.634 0.980 0.749
Th9 0.676 0.213 0.041
Th10 0.676 0.287 0.541
Th11 0.875 0.668 0.031
Th12 0.875 0.832 0.531
Pb1 0.167 0.105 0.759
Pb2 0.167 0.395 0.259
Pb3 0.833 0.605 0.741
Pb4 0.833 0.895 0.241
C1 0.500 0.000 0.500
C2 0.500 0.500 0.000

density of number 3 (Th6Pb2C)?
11.14 g/cm3